Here is a geometry-optimized KW2Au structure from Alexandria. Energies are from PBEsol.

The space group is P2/m (No. 10) and the conventional cell measures 2.6748, 5.4828 and 5.1261 Å, with angles of 90.00, 90.44 and 90.00 degrees. Symmetry generates all atoms from K at (0.0000, 0.0000, 0.0000), W at (0.3281, 0.5000, 0.7439) and Au at (0.5000, 0.0000, 0.5000).

The calculation puts the electronic total energy at -6.9544 eV per atom. The formation energy comes out at 1.21 eV/atom. For the offset from the most stable computed form, the calculation gives 456 meV/atom.